BaTe2O | Alexandria | PBE-GGA | optimized geometry; energy relative to the elements, uncorrected = -657 meV/atom; total moment = 0.00 μB/f.u.; DOS at the Fermi energy = 1.26 states/eV/f.u.
1.0
4.613 5.776 1.189
4.892 1.954 5.320
7.416 0.955 0.383
Te Ba O
2 1 1
Cartesian
1.667 0.856 0.679
15.254 7.828 6.214
8.461 4.342 3.446
0.000 0.000 0.000